1.
# Al2Pb2I (PBEsol, relaxed)
# - Crystal system: tetragonal
# - D(E_F): 2.86 states/eV/f.u.
# - Total magnetization: 0.0 μB/f.u.
# - Uncorrected formation energy: 62 meV/atom
data_Al2Pb2I
_chemical_formula_sum 'Al4 Pb4 I2'
_cell_length_a 3.863
_cell_length_b 3.863
_cell_length_c 18.540
_cell_angle_alpha 90.00
_cell_angle_beta 90.00
_cell_angle_gamma 90.00
_symmetry_space_group_name_H-M 'I 4/m m m'
_symmetry_Int_Tables_number 139
_symmetry_space_group_name_Hall '-I 4 2'
loop_
_atom_site_label
_atom_site_fract_x
_atom_site_fract_y
_atom_site_fract_z
Al1 0.000 0.500 0.250
Pb1 0.000 0.000 0.120
I1 0.000 0.000 0.500

***

2.
# AlTe2PbI (PBEsol, relaxed)
# - Crystal system: tetragonal
# - D(E_F): 2.10 states/eV/f.u.
# - Total magnetization: 0.0 μB/f.u.
# - Uncorrected formation energy: -32 meV/atom
data_AlTe2PbI
_chemical_formula_sum 'Al1 Te2 Pb1 I1'
_cell_length_a 5.374
_cell_length_b 5.374
_cell_length_c 5.379
_cell_angle_alpha 90.00
_cell_angle_beta 90.00
_cell_angle_gamma 90.00
_symmetry_space_group_name_H-M 'P 4/m m m'
_symmetry_Int_Tables_number 123
_symmetry_space_group_name_Hall '-P 4 2'
loop_
_atom_site_label
_atom_site_fract_x
_atom_site_fract_y
_atom_site_fract_z
Al1 0.000 0.000 0.000
Te1 0.000 0.500 0.000
Pb1 0.500 0.500 0.500
I1 0.000 0.000 0.500

***

3.
# AlPd3I (PBEsol, relaxed)
# - Crystal system: cubic
# - D(E_F): 0.67 states/eV/f.u.
# - Total magnetization: 0.0 μB/f.u.
# - Uncorrected formation energy: 170 meV/atom
data_AlPd3I
_chemical_formula_sum 'Al1 Pd3 I1'
_cell_length_a 4.603
_cell_length_b 4.603
_cell_length_c 4.603
_cell_angle_alpha 90.00
_cell_angle_beta 90.00
_cell_angle_gamma 90.00
_symmetry_space_group_name_H-M 'P m -3 m'
_symmetry_Int_Tables_number 221
_symmetry_space_group_name_Hall '-P 4 2 3'
loop_
_atom_site_label
_atom_site_fract_x
_atom_site_fract_y
_atom_site_fract_z
Al1 0.000 0.000 0.000
Pd1 0.000 0.000 0.500
I1 0.500 0.500 0.500

***

4.
# AlPd5I2 (PBEsol, relaxed)
# - Crystal system: tetragonal
# - D(E_F): 3.36 states/eV/f.u.
# - Total magnetization: 0.0 μB/f.u.
# - Uncorrected formation energy: -435 meV/atom
data_AlPd5I2
_chemical_formula_sum 'Al2 Pd10 I4'
_cell_length_a 4.001
_cell_length_b 4.001
_cell_length_c 19.471
_cell_angle_alpha 90.00
_cell_angle_beta 90.00
_cell_angle_gamma 90.00
_symmetry_space_group_name_H-M 'I 4/m m m'
_symmetry_Int_Tables_number 139
_symmetry_space_group_name_Hall '-I 4 2'
loop_
_atom_site_label
_atom_site_fract_x
_atom_site_fract_y
_atom_site_fract_z
Al1 0.000 0.000 0.000
Pd1 0.000 0.000 0.500
Pd2 0.000 0.500 0.091
I1 0.000 0.000 0.315

***

Question: What is the uncorrected formation energy in the third record?
Answer: 170 meV/atom

***

Copy entry 1 word for word.
# Al2Pb2I (PBEsol, relaxed)
# - Crystal system: tetragonal
# - D(E_F): 2.86 states/eV/f.u.
# - Total magnetization: 0.0 μB/f.u.
# - Uncorrected formation energy: 62 meV/atom
data_Al2Pb2I
_chemical_formula_sum 'Al4 Pb4 I2'
_cell_length_a 3.863
_cell_length_b 3.863
_cell_length_c 18.540
_cell_angle_alpha 90.00
_cell_angle_beta 90.00
_cell_angle_gamma 90.00
_symmetry_space_group_name_H-M 'I 4/m m m'
_symmetry_Int_Tables_number 139
_symmetry_space_group_name_Hall '-I 4 2'
loop_
_atom_site_label
_atom_site_fract_x
_atom_site_fract_y
_atom_site_fract_z
Al1 0.000 0.500 0.250
Pb1 0.000 0.000 0.120
I1 0.000 0.000 0.500